1.
Material: Zn2CoCu
Method: DFT, GGA-PBEsol
State: relaxed

Properties
Its formation energy is 0.011 eV per atom. As for the total energy: -3.797 eV per atom.

Unit cell a=2.5467 b=4.3263 c=4.6111 alpha=98.61 beta=90.00 gamma=107.12
With the nearest neighbours (Å) after each atom.
Fractional positions:
Zn: 0.7483 0.4965 0.7454  3 Cu 2.52-2.56, 3 Co 2.52-2.53, 6 Zn 2.55-2.67
Zn: 0.2517 0.5035 0.2546  3 Cu 2.52-2.56, 3 Co 2.52-2.53, 6 Zn 2.55-2.67
Co: 0.0000 0.0000 0.5000  6 Zn 2.52-2.53, 2 Co 2.55, 4 Cu 2.63
Cu: 0.5000 0.0000 0.0000  6 Zn 2.52-2.56, 2 Cu 2.55, 4 Co 2.63

2.
Material: ZnCo2Cu
Method: DFT, GGA-PBEsol
State: relaxed

Properties
Its formation energy is 0.117 eV per atom. As for the total energy: -5.230 eV per atom.

Unit cell a=2.4857 b=2.4857 c=7.2738 alpha=90.00 beta=90.00 gamma=90.00
With the nearest neighbours (Å) after each atom.
Fractional positions:
Zn: 0.5000 0.5000 0.5000  4 Zn 2.49, 8 Co 2.56
Co: 0.0000 0.0000 0.7556  4 Co 2.49, 4 Cu 2.50, 4 Zn 2.56
Co: 0.0000 0.0000 0.2444  4 Co 2.49, 4 Cu 2.50, 4 Zn 2.56
Cu: 0.5000 0.5000 0.0000  4 Cu 2.49, 8 Co 2.50

Question: Which value of total energy does entry 2 give?
Answer: -5.230 eV per atom

Question: The lowest total energy belongs to which entry?
Answer: ZnCo2Cu